{
  "formula": "Ac2CoBiO8",
  "functional": "PBE+U",
  "state": "relaxed",
  "lattice": [[5.5213, 0.0000, 0.0000], [-2.7607, 4.7816, 0.0000], [0.0000, 0.0000, 6.3727]],
  "species": ["Ac", "O", "Co", "Ac", "O", "O", "Bi", "O", "O", "O", "O", "O"],
  "fractional_positions": [[0.3333, 0.6667, 0.8509], [0.6881, 0.8440, 0.1727], [0.0000, 0.0000, 0.0000], [0.6667, 0.3333, 0.1491], [0.3333, 0.6667, 0.5050], [0.8440, 0.1560, 0.8273], [0.0000, 0.0000, 0.5000], [0.6667, 0.3333, 0.4950], [0.3119, 0.1560, 0.8273], [0.1560, 0.3119, 0.1727], [0.8440, 0.6881, 0.8273], [0.1560, 0.8440, 0.1727]],
  "magmom_total_mub_per_cell": 4.03,
  "energy_ev_per_atom": -6.2078
}